# Cr2Ag2F

A geometry-optimized Cr2Ag2F structure (PBE+U, Alexandria via LeMat-Bulk).

Cell and atoms, written as extended XYZ:
```
10
Lattice="3.710 0.000 0.000 0.000 3.710 0.000 0.000 0.000 14.837" Properties=species:S:1:pos:R:3 pbc="T T T"
Cr 0.000 0.000 1.438
Cr 0.000 0.000 13.400
Cr 1.855 1.855 5.981
Cr 1.855 1.855 8.857
Ag 0.000 1.855 3.709
Ag 0.000 1.855 11.128
Ag 1.855 0.000 3.709
Ag 1.855 0.000 11.128
F 0.000 0.000 7.419
F 1.855 1.855 0.000
```

Summary:
- energy relative to the lowest polymorph listed for this composition (meV/atom) = 219.9
- M_tot (μB/cell) = 19.7
- DOS(E_F) (states/eV/cell) = 4.692
- space group = No. 139
- V (Å³/cell) = 204